1.
Tb2CePm6Nd | Alexandria | GGA-PBE | optimized geometry; ΔH_f (0 K) = 239 meV per atom; calculated total energy = -4.608 eV/atom; N(E_F) = 2.240 states/eV per atom
1.0
5.706 -3.460 0.000
5.706 3.460 0.000
-2.159 0.000 8.708
Tb Ce Pm Nd
2 1 6 1
Cartesian
0.683 0.000 1.403 Tb
8.569 0.000 7.305 Tb
5.706 0.000 0.000 Ce
3.314 1.817 1.730 Pm
2.994 0.000 5.091 Pm
5.938 1.817 6.978 Pm
3.314 -1.817 1.730 Pm
6.258 0.000 3.617 Pm
5.938 -1.817 6.978 Pm
-1.080 0.000 4.354 Nd

2.
Tb5CePmNd2 | Alexandria | GGA-PBE | optimized geometry; ΔH_f (0 K) = 263 meV per atom; calculated total energy = -4.556 eV/atom; N(E_F) = 1.742 states/eV per atom
1.0
-4.339 4.339 7.855
4.339 -4.339 7.855
4.339 4.339 -7.855
Tb Ce Pm Nd
10 2 2 4
Cartesian
0.000 0.000 0.000 Tb
6.093 1.754 -2.202 Tb
1.754 2.585 -2.202 Tb
6.093 1.754 2.202 Tb
1.754 2.585 2.202 Tb
0.000 0.000 7.855 Tb
2.585 1.754 5.653 Tb
-1.754 2.585 5.653 Tb
2.585 1.754 10.057 Tb
-1.754 2.585 10.057 Tb
4.339 0.000 3.928 Ce
0.000 4.339 3.928 Ce
0.000 0.000 3.928 Pm
0.000 0.000 11.783 Pm
3.288 1.051 0.000 Nd
3.288 -1.051 7.855 Nd
1.051 5.391 0.000 Nd
1.051 3.288 7.855 Nd

3.
TbCePm2Nd6 | Alexandria | GGA-PBE | optimized geometry; ΔH_f (0 K) = 231 meV per atom; calculated total energy = -4.636 eV/atom; N(E_F) = 2.127 states/eV per atom
1.0
5.752 -3.508 0.000
5.752 3.508 0.000
-2.340 0.000 8.654
Tb Ce Pm Nd
1 1 2 6
Cartesian
0.000 0.000 0.000 Tb
4.582 0.000 4.327 Ce
-0.549 0.000 5.768 Pm
9.713 0.000 2.887 Pm
2.064 1.847 6.078 Nd
4.147 0.000 0.746 Nd
7.100 1.847 2.576 Nd
2.064 -1.847 6.078 Nd
5.017 0.000 7.908 Nd
7.100 -1.847 2.576 Nd

4.
Ce3PmNd2Te6 | Alexandria | GGA-PBE | optimized geometry; calculated total energy = -5.646 eV/atom; energy relative to the elements, uncorrected = -1.401 eV/atom; N(E_F) = 1.959 states/eV per atom
1.0
3.870 -6.714 0.000
3.870 6.714 0.000
-2.584 0.000 7.388
Ce Pm Nd Te
3 1 2 6
Cartesian
0.000 0.000 0.000 Ce
3.870 2.251 0.000 Ce
3.870 -2.251 0.000 Ce
2.578 0.000 3.694 Pm
2.578 4.479 3.694 Nd
2.578 -4.479 3.694 Nd
1.295 2.228 1.852 Te
0.010 0.000 5.544 Te
1.295 -2.228 1.852 Te
3.860 2.228 5.536 Te
5.146 0.000 1.844 Te
3.860 -2.228 5.536 Te

5.
Ce2PmNd3Te6 | Alexandria | GGA-PBE | optimized geometry; calculated total energy = -5.556 eV/atom; energy relative to the elements, uncorrected = -1.408 eV/atom; N(E_F) = 1.496 states/eV per atom
1.0
9.798 -2.234 0.000
9.798 2.234 0.000
-2.127 0.000 8.780
Ce Pm Nd Te
2 1 3 6
Cartesian
2.561 0.000 2.940 Ce
14.908 0.000 5.840 Ce
9.798 0.000 0.000 Pm
1.473 0.000 7.318 Nd
8.734 0.000 4.390 Nd
15.995 0.000 1.462 Nd
-0.515 0.000 2.183 Te
5.648 0.000 3.654 Te
4.591 0.000 8.039 Te
12.878 0.000 0.741 Te
11.820 0.000 5.126 Te
17.983 0.000 6.597 Te

6.
Ce2PmNdTe5 | Alexandria | GGA-PBE | optimized geometry; calculated total energy = -4.873 eV/atom; energy relative to the elements, uncorrected = -0.751 eV/atom; N(E_F) = 2.126 states/eV per atom
1.0
5.694 0.000 0.000
0.000 5.694 0.000
0.000 0.000 11.860
Ce Pm Nd Te
2 1 1 5
Cartesian
0.000 0.000 1.940 Ce
0.000 0.000 9.920 Ce
2.847 2.847 5.930 Pm
2.847 2.847 0.000 Nd
0.000 0.000 5.930 Te
0.000 2.847 0.000 Te
2.847 0.000 0.000 Te
2.847 2.847 3.025 Te
2.847 2.847 8.835 Te

7.
CePm3Nd4Te8 | Alexandria | GGA-PBE | optimized geometry; calculated total energy = -5.435 eV/atom; energy relative to the elements, uncorrected = -1.410 eV/atom; N(E_F) = 1.064 states/eV per atom
1.0
4.487 2.591 7.324
-4.487 2.591 7.324
0.000 -5.182 7.324
Ce Pm Nd Te
1 3 4 8
Cartesian
0.000 0.000 0.000 Ce
-2.244 -1.295 7.324 Pm
-2.244 1.295 14.648 Pm
0.000 2.591 7.324 Pm
-4.487 0.000 10.986 Nd
-2.244 1.295 3.662 Nd
2.244 1.295 3.662 Nd
0.000 0.000 10.986 Nd
0.000 -2.588 9.138 Te
-2.242 1.294 9.138 Te
0.000 0.000 5.512 Te
-2.242 -1.294 12.834 Te
2.242 1.294 9.138 Te
0.000 0.000 16.460 Te
2.242 -1.294 12.834 Te
0.000 2.588 12.834 Te

8.
CePm3Nd2Te6 | Alexandria | GGA-PBE | optimized geometry; calculated total energy = -5.457 eV/atom; energy relative to the elements, uncorrected = -1.409 eV/atom; N(E_F) = 1.054 states/eV per atom
1.0
9.761 -2.230 0.000
9.761 2.230 0.000
-2.067 0.000 8.779
Ce Pm Nd Te
1 3 2 6
Cartesian
0.000 0.000 0.000 Ce
-1.034 0.000 4.390 Pm
6.132 0.000 1.456 Pm
11.322 0.000 7.323 Pm
5.128 0.000 5.859 Nd
12.326 0.000 2.920 Nd
3.080 0.000 0.713 Te
2.036 0.000 5.131 Te
9.219 0.000 2.202 Te
8.235 0.000 6.577 Te
15.418 0.000 3.648 Te
14.374 0.000 8.066 Te

9.
Ce3PmNd4Te8 | Alexandria | GGA-PBE | optimized geometry; calculated total energy = -5.578 eV/atom; energy relative to the elements, uncorrected = -1.406 eV/atom; N(E_F) = 1.661 states/eV per atom
1.0
4.480 2.587 7.371
-4.480 2.587 7.371
0.000 -5.173 7.371
Ce Pm Nd Te
3 1 4 8
Cartesian
-2.240 -1.293 7.371 Ce
-2.240 1.293 14.741 Ce
0.000 2.587 7.371 Ce
0.000 0.000 0.000 Pm
-4.480 0.000 11.056 Nd
-2.240 1.293 3.685 Nd
2.240 1.293 3.685 Nd
0.000 0.000 11.056 Nd
0.000 -2.592 9.203 Te
-2.244 1.296 9.203 Te
0.000 0.000 5.532 Te
-2.244 -1.296 12.909 Te
2.244 1.296 9.203 Te
0.000 0.000 16.580 Te
2.244 -1.296 12.909 Te
0.000 2.592 12.909 Te

10.
Ce3Pm4NdTe8 | Alexandria | GGA-PBE | optimized geometry; calculated total energy = -5.570 eV/atom; energy relative to the elements, uncorrected = -1.401 eV/atom; N(E_F) = 1.646 states/eV per atom
1.0
4.467 2.579 7.354
-4.467 2.579 7.354
0.000 -5.158 7.354
Ce Pm Nd Te
3 4 1 8
Cartesian
-2.234 -1.290 7.354 Ce
-2.234 1.290 14.708 Ce
0.000 2.579 7.354 Ce
-4.467 0.000 11.031 Pm
-2.234 1.290 3.677 Pm
2.234 1.290 3.677 Pm
0.000 0.000 11.031 Pm
0.000 0.000 0.000 Nd
0.000 0.000 5.501 Te
-2.230 -1.288 12.855 Te
0.000 -2.576 9.207 Te
-2.230 1.288 9.207 Te
2.231 -1.288 12.855 Te
0.000 2.576 12.855 Te
2.230 1.288 9.207 Te
0.000 0.000 16.561 Te

11.
Ce2PmNdTl4 | Alexandria | GGA-PBE | optimized geometry; ΔH_f (0 K) = -292 meV per atom; calculated total energy = -4.148 eV/atom; N(E_F) = 2.460 states/eV per atom
1.0
2.757 1.592 9.009
-2.757 1.592 9.009
0.000 -3.184 9.009
Ce Pm Nd Tl
2 1 1 4
Cartesian
0.000 0.000 6.756 Ce
0.000 0.000 20.271 Ce
0.000 0.000 0.000 Pm
0.000 0.000 13.514 Nd
0.000 0.000 3.368 Tl
0.000 0.000 10.126 Tl
0.000 0.000 16.901 Tl
0.000 0.000 23.659 Tl

12.
CePmNd2Tm | Alexandria | GGA-PBE | optimized geometry; ΔH_f (0 K) = 268 meV per atom; calculated total energy = -4.670 eV/atom; N(E_F) = 1.947 states/eV per atom
1.0
8.470 0.000 0.000
0.000 6.361 0.000
-0.046 0.000 6.233
Ce Pm Nd Tm
2 2 4 2
Cartesian
-0.012 0.291 1.558 Ce
-0.035 6.070 4.675 Ce
0.000 3.181 0.000 Pm
-0.023 3.181 3.116 Pm
2.566 1.245 4.660 Nd
2.589 5.116 1.543 Nd
5.835 1.245 4.689 Nd
5.858 5.116 1.573 Nd
4.224 2.057 1.558 Tm
4.201 4.305 4.675 Tm

13.
Ce2Pm3NdTm6 | Alexandria | GGA-PBE | optimized geometry; ΔH_f (0 K) = 47 meV per atom; calculated total energy = -4.763 eV/atom; N(E_F) = 1.653 states/eV per atom
1.0
3.079 -5.332 0.000
3.079 5.332 0.000
-2.052 0.000 11.467
Ce Pm Nd Tm
2 3 1 6
Cartesian
3.079 3.555 0.000 Ce
3.079 -3.555 0.000 Ce
-1.026 0.000 5.733 Pm
2.053 1.770 5.733 Pm
2.053 -1.770 5.733 Pm
3.079 0.000 0.000 Nd
-0.008 1.789 8.626 Tm
1.013 0.000 2.840 Tm
-0.008 -1.789 8.626 Tm
4.114 1.789 2.841 Tm
3.093 0.000 8.627 Tm
4.114 -1.789 2.841 Tm

14.
CePmNdTm | Alexandria | GGA-PBE | optimized geometry; ΔH_f (0 K) = 196 meV per atom; calculated total energy = -4.785 eV/atom; N(E_F) = 2.549 states/eV per atom
1.0
0.000 4.051 4.051
4.051 0.000 4.051
4.051 4.051 0.000
Ce Pm Nd Tm
1 1 1 1
Cartesian
0.000 0.000 0.000 Ce
6.077 6.077 6.077 Pm
2.026 2.026 2.026 Nd
4.051 4.051 4.051 Tm

15.
CePm4NdTm2 | Alexandria | GGA-PBE | optimized geometry; ΔH_f (0 K) = 47 meV per atom; calculated total energy = -4.784 eV/atom; N(E_F) = 1.807 states/eV per atom
1.0
6.213 0.000 0.000
0.000 3.598 0.000
-2.061 0.000 11.779
Ce Pm Nd Tm
1 4 1 2
Cartesian
0.000 0.000 0.000 Ce
-0.008 0.000 8.881 Pm
1.033 1.799 2.921 Pm
4.159 0.000 2.898 Pm
3.118 1.799 8.858 Pm
-1.031 1.799 5.889 Nd
2.076 0.000 5.889 Tm
3.106 1.799 0.000 Tm

16.
CePm2NdY5 | Alexandria | GGA-PBE | optimized geometry; ΔH_f (0 K) = 269 meV per atom; calculated total energy = -5.567 eV/atom; N(E_F) = 1.781 states/eV per atom
1.0
8.725 0.000 0.000
0.000 8.725 0.000
0.000 0.000 7.991
Ce Pm Nd Y
2 4 2 10
Cartesian
0.000 4.363 0.000 Ce
4.363 0.000 0.000 Ce
1.032 3.331 3.995 Pm
3.331 7.693 3.995 Pm
5.394 1.032 3.995 Pm
7.693 5.394 3.995 Pm
0.000 0.000 0.000 Nd
4.363 4.363 0.000 Nd
0.000 0.000 3.995 Y
1.802 6.164 1.822 Y
1.802 6.164 6.168 Y
2.561 1.802 1.822 Y
2.561 1.802 6.168 Y
4.363 4.363 3.995 Y
6.164 6.923 1.822 Y
6.164 6.923 6.168 Y
6.923 2.561 1.822 Y
6.923 2.561 6.168 Y

17.
CePm3Nd2Y6 | Alexandria | GGA-PBE | optimized geometry; ΔH_f (0 K) = 32 meV per atom; calculated total energy = -5.677 eV/atom; N(E_F) = 1.568 states/eV per atom
1.0
3.135 -5.430 0.000
3.135 5.430 0.000
-2.086 0.000 11.685
Ce Pm Nd Y
1 3 2 6
Cartesian
0.000 0.000 0.000 Ce
2.092 3.612 5.842 Pm
2.092 0.000 5.842 Pm
2.092 -3.612 5.842 Pm
3.135 1.809 0.000 Nd
3.135 -1.809 0.000 Nd
1.038 1.797 2.913 Y
-0.011 0.000 8.771 Y
1.038 -1.797 2.913 Y
3.146 1.797 8.772 Y
4.195 0.000 2.914 Y
3.146 -1.797 8.772 Y

18.
CePm2NdY6 | Alexandria | GGA-PBE | optimized geometry; ΔH_f (0 K) = 235 meV per atom; calculated total energy = -5.663 eV/atom; N(E_F) = 2.111 states/eV per atom
1.0
5.753 -3.375 0.000
5.753 3.375 0.000
-2.762 0.000 8.682
Ce Pm Nd Y
1 2 1 6
Cartesian
0.000 0.000 0.000 Ce
2.443 0.000 7.214 Pm
6.301 0.000 1.468 Pm
4.372 0.000 4.341 Nd
3.233 1.638 1.687 Y
0.377 0.000 3.641 Y
5.511 1.638 6.995 Y
3.233 -1.638 1.687 Y
8.367 0.000 5.041 Y
5.511 -1.638 6.995 Y

19.
Ce2PmNd3Y6 | Alexandria | GGA-PBE | optimized geometry; ΔH_f (0 K) = 46 meV per atom; calculated total energy = -5.763 eV/atom; N(E_F) = 1.776 states/eV per atom
1.0
3.122 -5.407 0.000
3.122 5.407 0.000
-2.080 0.000 11.664
Ce Pm Nd Y
2 1 3 6
Cartesian
3.122 3.606 0.000 Ce
3.122 -3.606 0.000 Ce
3.122 0.000 0.000 Pm
-1.040 0.000 5.832 Nd
2.082 1.796 5.832 Nd
2.082 -1.796 5.832 Nd
-0.007 1.814 8.786 Y
1.028 0.000 2.878 Y
-0.007 -1.814 8.786 Y
4.171 1.814 2.878 Y
3.136 0.000 8.786 Y
4.171 -1.814 2.878 Y

20.
CePmNdY | Alexandria | GGA-PBE | optimized geometry; ΔH_f (0 K) = 193 meV per atom; calculated total energy = -5.286 eV/atom; N(E_F) = 2.580 states/eV per atom
1.0
0.000 4.076 4.076
4.076 0.000 4.076
4.076 4.076 0.000
Ce Pm Nd Y
1 1 1 1
Cartesian
0.000 0.000 0.000 Ce
2.038 2.038 2.038 Pm
6.114 6.114 6.114 Nd
4.076 4.076 4.076 Y